Entry 1:
An optimized crystal structure of Pr2SmAg2Pb2. Source: Alexandria, functional GGA-PBE.

a b c (Å): 4.9838 4.9838 26.9892
angles (deg): 90.00 90.00 120.00
Space group R-3m (No. 166, hexagonal axes)
One atom of each set of equivalent atoms:
1 Pr 0.0000 0.0000 0.1359
2 Sm 0.0000 0.0000 0.0000
3 Ag 0.0000 0.0000 0.4337
4 Pb 0.0000 0.0000 0.2699

Properties
* size of the total moment: 0.00 μB per formula unit
* ΔH_f (0 K): -0.276 eV per atom
* N(E_F): 10.145 states/eV/cell

Entry 2:
An optimized crystal structure of TbPr2Ag2Pb2. Source: Alexandria, functional GGA-PBE.

a b c (Å): 4.9706 4.9706 26.7985
angles (deg): 90.00 90.00 120.00
Space group R-3m (No. 166, hexagonal axes)
One atom of each set of equivalent atoms:
1 Tb 0.0000 0.0000 0.0000
2 Pr 0.0000 0.0000 0.1358
3 Ag 0.0000 0.0000 0.4327
4 Pb 0.0000 0.0000 0.2714

Properties
* size of the total moment: 0.00 μB per formula unit
* ΔH_f (0 K): -0.251 eV per atom
* N(E_F): 10.601 states/eV/cell

Question: Which value of size of the total moment does entry 2 give?
Answer: 0.00 μB per formula unit

Question: What is the formula in the first record?
Answer: Pr2SmAg2Pb2

Question: What is the formula in the first record?
Answer: Pr2SmAg2Pb2